VASP calculation (PBE) on a relaxed structure of Cu2SnP.

Cell and atoms, written as extended XYZ:
```
4
Lattice="-0.416 1.032 4.403 -0.186 4.345 1.306 -3.893 1.735 1.568" Properties=species:S:1:pos:R:3 pbc="T T T"
Sn -2.247 3.557 3.638
Cu -3.371 5.335 5.457
Cu -1.124 1.778 1.819
P 0.000 0.000 0.000
```

Results
ΔH_f (0 K): 0.33 eV/atom
VASP energy: -4.071 eV per atom
Magnetization: 0.00 μB per atom